# SrCeCdPt (PBE, optimized geometry)
data_SrCeCdPt
_symmetry_space_group_name_H-M 'F -4 3 m'
_symmetry_Int_Tables_number 216
_symmetry_space_group_name_Hall 'F -4 2 3'
_cell_length_a 7.499
_cell_length_b 7.499
_cell_length_c 7.499
_cell_angle_alpha 90.00
_cell_angle_beta 90.00
_cell_angle_gamma 90.00
loop_
_atom_site_label
_atom_site_type_symbol
_atom_site_fract_x
_atom_site_fract_y
_atom_site_fract_z
Sr1 Sr 0.000 0.000 0.000
Ce1 Ce 0.000 0.000 0.500
Cd1 Cd 0.250 0.250 0.750
Pt1 Pt 0.250 0.250 0.250
# Energy relative to the elements, meV/atom: -459
# Electronic total energy, eV for the cell shown: -65.63
# DOS(E_F), states/eV per cell: 34.52

# TbCeCdPt (PBE, optimized geometry)
data_TbCeCdPt
_symmetry_space_group_name_H-M 'F -4 3 m'
_symmetry_Int_Tables_number 216
_symmetry_space_group_name_Hall 'F -4 2 3'
_cell_length_a 7.310
_cell_length_b 7.310
_cell_length_c 7.310
_cell_angle_alpha 90.00
_cell_angle_beta 90.00
_cell_angle_gamma 90.00
loop_
_atom_site_label
_atom_site_type_symbol
_atom_site_fract_x
_atom_site_fract_y
_atom_site_fract_z
Tb1 Tb 0.000 0.000 0.000
Ce1 Ce 0.000 0.000 0.500
Cd1 Cd 0.250 0.250 0.250
Pt1 Pt 0.250 0.250 0.750
# Energy relative to the elements, meV/atom: -584
# Electronic total energy, eV for the cell shown: -79.43
# DOS(E_F), states/eV per cell: 32.82

# CeTlCdPt (PBE, optimized geometry)
data_CeTlCdPt
_symmetry_space_group_name_H-M 'F -4 3 m'
_symmetry_Int_Tables_number 216
_symmetry_space_group_name_Hall 'F -4 2 3'
_cell_length_a 7.161
_cell_length_b 7.161
_cell_length_c 7.161
_cell_angle_alpha 90.00
_cell_angle_beta 90.00
_cell_angle_gamma 90.00
loop_
_atom_site_label
_atom_site_type_symbol
_atom_site_fract_x
_atom_site_fract_y
_atom_site_fract_z
Ce1 Ce 0.000 0.000 0.000
Tl1 Tl 0.250 0.250 0.750
Cd1 Cd 0.000 0.000 0.500
Pt1 Pt 0.250 0.250 0.250
# Energy relative to the elements, meV/atom: -421
# Electronic total energy, eV for the cell shown: -67.76
# DOS(E_F), states/eV per cell: 23.68

# CeYCdPt (PBE, optimized geometry)
data_CeYCdPt
_symmetry_space_group_name_H-M 'F -4 3 m'
_symmetry_Int_Tables_number 216
_symmetry_space_group_name_Hall 'F -4 2 3'
_cell_length_a 7.307
_cell_length_b 7.307
_cell_length_c 7.307
_cell_angle_alpha 90.00
_cell_angle_beta 90.00
_cell_angle_gamma 90.00
loop_
_atom_site_label
_atom_site_type_symbol
_atom_site_fract_x
_atom_site_fract_y
_atom_site_fract_z
Ce1 Ce 0.000 0.000 0.000
Y1 Y 0.000 0.000 0.500
Cd1 Cd 0.250 0.250 0.250
Pt1 Pt 0.250 0.250 0.750
# Energy relative to the elements, meV/atom: -588
# Electronic total energy, eV for the cell shown: -86.82
# DOS(E_F), states/eV per cell: 33.96

# Ce2Zn2CdPt5 (PBE, optimized geometry)
data_Ce2Zn2CdPt5
_symmetry_space_group_name_H-M 'P 4/m b m'
_symmetry_Int_Tables_number 127
_symmetry_space_group_name_Hall '-P 4 2ab'
_cell_length_a 9.834
_cell_length_b 9.834
_cell_length_c 3.858
_cell_angle_alpha 90.00
_cell_angle_beta 90.00
_cell_angle_gamma 90.00
loop_
_atom_site_label
_atom_site_type_symbol
_atom_site_fract_x
_atom_site_fract_y
_atom_site_fract_z
Ce1 Ce 0.179 0.321 0.000
Zn1 Zn 0.119 0.619 0.000
Cd1 Cd 0.000 0.000 0.000
Pt1 Pt 0.000 0.500 0.500
Pt2 Pt 0.067 0.791 0.500
# Energy relative to the elements, meV/atom: -680
# Electronic total energy, eV for the cell shown: -104.68
# DOS(E_F), states/eV per cell: 32.04

# CeZn2CdPt2 (PBE, optimized geometry)
data_CeZn2CdPt2
_symmetry_space_group_name_H-M 'P -3 m 1'
_symmetry_Int_Tables_number 164
_symmetry_space_group_name_Hall '-P 3 2"'
_cell_length_a 4.4531
_cell_length_b 4.4531
_cell_length_c 6.6967
_cell_angle_alpha 90.00
_cell_angle_beta 90.00
_cell_angle_gamma 120.00
loop_
_atom_site_label
_atom_site_type_symbol
_atom_site_fract_x
_atom_site_fract_y
_atom_site_fract_z
Ce1 Ce 0.0000 0.0000 0.0000
Zn1 Zn 0.3333 0.6667 0.3060
Cd1 Cd 0.0000 0.0000 0.5000
Pt1 Pt 0.3333 0.6667 0.7326
# Energy relative to the elements, meV/atom: -641
# Electronic total energy, eV for the cell shown: -25.32
# DOS(E_F), states/eV per cell: 5.86

# CePuCd (PBE, optimized geometry)
data_CePuCd
_symmetry_space_group_name_H-M 'C 1 2/m 1'
_symmetry_Int_Tables_number 12
_cell_length_a 11.036
_cell_length_b 4.090
_cell_length_c 7.099
_cell_angle_alpha 90.00
_cell_angle_beta 111.87
_cell_angle_gamma 90.00
loop_
_symmetry_equiv_pos_as_xyz
'x,y,z'
'-x,-y,-z'
'-x,y,-z'
'x,-y,z'
'x+1/2,y+1/2,z'
'-x+1/2,-y+1/2,-z'
'-x+1/2,y+1/2,-z'
'x+1/2,-y+1/2,z'
loop_
_atom_site_label
_atom_site_type_symbol
_atom_site_fract_x
_atom_site_fract_y
_atom_site_fract_z
Ce1 Ce 0.023 0.000 0.274
Pu1 Pu 0.150 0.500 0.537
Cd1 Cd 0.184 0.500 0.081
# Energy relative to the elements, meV/atom: -42
# Electronic total energy, eV for the cell shown: -85.22
# DOS(E_F), states/eV per cell: 22.80

# Ce2PuCd2 (PBE, optimized geometry)
data_Ce2PuCd2
_symmetry_space_group_name_H-M 'C 1 2/c 1'
_symmetry_Int_Tables_number 15
_cell_length_a 11.754
_cell_length_b 5.797
_cell_length_c 7.673
_cell_angle_alpha 90.00
_cell_angle_beta 104.85
_cell_angle_gamma 90.00
loop_
_symmetry_equiv_pos_as_xyz
'x,y,z'
'-x,-y,-z'
'-x,y,-z+1/2'
'x,-y,z+1/2'
'x+1/2,y+1/2,z'
'-x+1/2,-y+1/2,-z'
'-x+1/2,y+1/2,-z+1/2'
'x+1/2,-y+1/2,z+1/2'
loop_
_atom_site_label
_atom_site_type_symbol
_atom_site_fract_x
_atom_site_fract_y
_atom_site_fract_z
Ce1 Ce 0.082 0.153 0.477
Pu1 Pu 0.000 0.376 0.750
Cd1 Cd 0.208 0.332 0.152
# Energy relative to the elements, meV/atom: -83
# Electronic total energy, eV for the cell shown: -113.78
# DOS(E_F), states/eV per cell: 39.07

# CePuCd6 (PBE, optimized geometry)
data_CePuCd6
_symmetry_space_group_name_H-M 'A m m 2'
_symmetry_Int_Tables_number 38
_cell_length_a 4.909
_cell_length_b 7.418
_cell_length_c 10.940
_cell_angle_alpha 90.00
_cell_angle_beta 90.00
_cell_angle_gamma 90.00
loop_
_symmetry_equiv_pos_as_xyz
'x,y,z'
'-x,-y,z'
'-x,y,z'
'x,-y,z'
'x,y+1/2,z+1/2'
'-x,-y+1/2,z+1/2'
'-x,y+1/2,z+1/2'
'x,-y+1/2,z+1/2'
loop_
_atom_site_label
_atom_site_type_symbol
_atom_site_fract_x
_atom_site_fract_y
_atom_site_fract_z
Ce1 Ce 0.000 0.000 0.000
Pu1 Pu 0.500 0.000 0.751
Cd1 Cd 0.000 0.000 0.554
Cd2 Cd 0.000 0.207 0.276
Cd3 Cd 0.500 0.000 0.199
Cd4 Cd 0.500 0.207 0.474
# Energy relative to the elements, meV/atom: -110
# Electronic total energy, eV for the cell shown: -53.27
# DOS(E_F), states/eV per cell: 40.52

# Ce3PuCd2 (PBE, optimized geometry)
data_Ce3PuCd2
_symmetry_space_group_name_H-M 'P 63/m m c'
_symmetry_Int_Tables_number 194
_symmetry_space_group_name_Hall '-P 6c 2c'
_cell_length_a 6.5801
_cell_length_b 6.5801
_cell_length_c 8.2548
_cell_angle_alpha 90.00
_cell_angle_beta 90.00
_cell_angle_gamma 120.00
loop_
_atom_site_label
_atom_site_type_symbol
_atom_site_fract_x
_atom_site_fract_y
_atom_site_fract_z
Ce1 Ce 0.1744 0.3489 0.2500
Pu1 Pu 0.0000 0.0000 0.0000
Cd1 Cd 0.3333 0.6667 0.5791
# Energy relative to the elements, meV/atom: 32
# Electronic total energy, eV for the cell shown: -67.55
# DOS(E_F), states/eV per cell: 17.72

# CePuCd (PBE, optimized geometry)
data_CePuCd
_symmetry_space_group_name_H-M 'P -6 m 2'
_symmetry_Int_Tables_number 187
_symmetry_space_group_name_Hall 'P -6 2'
_cell_length_a 5.2375
_cell_length_b 5.2375
_cell_length_c 3.0501
_cell_angle_alpha 90.00
_cell_angle_beta 90.00
_cell_angle_gamma 120.00
loop_
_atom_site_label
_atom_site_type_symbol
_atom_site_fract_x
_atom_site_fract_y
_atom_site_fract_z
Ce1 Ce 0.0000 0.0000 0.0000
Pu1 Pu 0.6667 0.3333 0.0000
Cd1 Cd 0.3333 0.6667 0.5000
# Energy relative to the elements, meV/atom: -6
# Electronic total energy, eV for the cell shown: -21.20
# DOS(E_F), states/eV per cell: 7.40

# CePuCd (PBE, optimized geometry)
data_CePuCd
_symmetry_space_group_name_H-M 'C m c m'
_symmetry_Int_Tables_number 63
_symmetry_space_group_name_Hall '-C 2c 2'
_cell_length_a 3.328
_cell_length_b 17.972
_cell_length_c 5.017
_cell_angle_alpha 90.00
_cell_angle_beta 90.00
_cell_angle_gamma 90.00
loop_
_atom_site_label
_atom_site_type_symbol
_atom_site_fract_x
_atom_site_fract_y
_atom_site_fract_z
Ce1 Ce 0.000 0.123 0.250
Pu1 Pu 0.000 0.207 0.750
Cd1 Cd 0.000 0.456 0.250
# Energy relative to the elements, meV/atom: -41
# Electronic total energy, eV for the cell shown: -85.22
# DOS(E_F), states/eV per cell: 30.69

- Look up the DOS(E_F) of the eighth one.
  39.07 states/eV per cell